Record 1
Sn2TePb after structural relaxation. Source: the Alexandria database, functional PBE.

a = 8.985 Å, b = 8.985 Å, c = 8.985 Å
α = 136.34°, β = 136.34°, γ = 63.46°
Positions (direct):
Sn: 0.123 0.625 0.998
Sn: 0.375 0.373 0.498
Sn: 0.627 0.125 0.002
Sn: 0.875 0.877 0.502
Te: 0.250 0.750 0.500
Te: 0.500 0.500 0.000
Pb: 0.000 0.000 0.000
Pb: 0.750 0.250 0.500

Computed properties:
E_form (uncorrected): 0.174 eV/atom
D(E_F): 7.96 states/eV/cell
Space-group type: I-42d, No. 122
Excess energy over the best structure of this formula in the dataset: 163 meV per atom
Magnetization: 0.000 μB/atom



Record 2
SnTe6Pb4 after structural relaxation. Source: the Alexandria database, functional PBE.

a = 9.305 Å, b = 9.305 Å, c = 14.776 Å
α = 113.42°, β = 113.42°, γ = 53.02°
Positions (direct):
Sn: 0.217 0.783 0.500
Sn: 0.783 0.217 0.000
Te: 0.009 0.483 0.749
Te: 0.188 0.609 0.296
Te: 0.324 0.901 0.871
Te: 0.422 0.942 0.536
Te: 0.468 0.512 0.614
Te: 0.483 0.009 0.249
Te: 0.512 0.468 0.114
Te: 0.609 0.188 0.796
Te: 0.880 0.982 0.553
Te: 0.901 0.324 0.371
Te: 0.942 0.422 0.036
Te: 0.982 0.880 0.053
Pb: 0.171 0.368 0.569
Pb: 0.205 0.942 0.276
Pb: 0.277 0.617 0.910
Pb: 0.368 0.171 0.069
Pb: 0.599 0.814 0.745
Pb: 0.617 0.277 0.410
Pb: 0.814 0.599 0.245
Pb: 0.942 0.205 0.776

Computed properties:
E_form (uncorrected): -0.248 eV/atom
D(E_F): 0.68 states/eV/cell
Space-group type: Cc, No. 9
Magnetization: 0.000 μB/atom



Record 3
Sn4Te8Pb3 after structural relaxation. Source: the Alexandria database, functional PBE.

a = 9.064 Å, b = 9.064 Å, c = 8.987 Å
α = 119.71°, β = 119.71°, γ = 90.04°
Positions (direct):
Sn: 0.000 0.000 0.000
Sn: 0.000 0.000 0.500
Sn: 0.000 0.500 0.000
Sn: 0.500 0.000 0.000
Te: 0.237 0.237 0.481
Te: 0.239 0.239 0.994
Te: 0.241 0.759 0.000
Te: 0.247 0.753 0.500
Te: 0.753 0.247 0.500
Te: 0.759 0.241 0.000
Te: 0.761 0.761 0.006
Te: 0.763 0.763 0.519
Pb: 0.000 0.500 0.500
Pb: 0.500 0.000 0.500
Pb: 0.500 0.500 0.500

Computed properties:
E_form (uncorrected): -0.278 eV/atom
D(E_F): 6.15 states/eV/cell
Space-group type: C2/m, No. 12
Excess energy over the best structure of this formula in the dataset: 0 meV per atom
Magnetization: 0.000 μB/atom



Record 4
Sn2TePb after structural relaxation. Source: the Alexandria database, functional PBE.

a = 8.413 Å, b = 8.413 Å, c = 8.413 Å
α = 29.32°, β = 29.32°, γ = 29.32°
Positions (direct):
Sn: 0.248 0.248 0.248
Sn: 0.752 0.752 0.752
Te: 0.500 0.500 0.500
Pb: 0.000 0.000 0.000

Computed properties:
E_form (uncorrected): 0.011 eV/atom
D(E_F): 2.39 states/eV/cell
Space-group type: R-3m, No. 166
Excess energy over the best structure of this formula in the dataset: 0 meV per atom
Magnetization: 0.000 μB/atom



Record 5
Th4SnTe2Pb after structural relaxation. Source: the Alexandria database, functional PBE.

a = 7.681 Å, b = 4.549 Å, c = 7.949 Å
α = 90.00°, β = 109.81°, γ = 90.00°
Positions (direct):
Th: 0.246 0.000 0.244
Th: 0.250 0.500 0.754
Th: 0.750 0.500 0.246
Th: 0.754 0.000 0.756
Sn: 0.000 0.500 0.000
Te: 0.500 0.000 0.000
Te: 0.500 0.500 0.500
Pb: 0.000 0.000 0.500

Computed properties:
E_form (uncorrected): -0.724 eV/atom
D(E_F): 6.64 states/eV/cell
Space-group type: P2/m, No. 10
Magnetization: 0.000 μB/atom



Record 6
TlSnTe4Pb2 after structural relaxation. Source: the Alexandria database, functional PBE.

a = 7.962 Å, b = 4.565 Å, c = 7.972 Å
α = 90.00°, β = 109.42°, γ = 90.00°
Positions (direct):
Tl: 0.000 0.000 0.000
Sn: 0.500 0.500 0.000
Te: 0.256 0.500 0.249
Te: 0.258 0.000 0.755
Te: 0.742 0.000 0.245
Te: 0.744 0.500 0.751
Pb: 0.000 0.500 0.500
Pb: 0.500 0.000 0.500

Computed properties:
E_form (uncorrected): -0.307 eV/atom
D(E_F): 4.71 states/eV/cell
Space-group type: P2/m, No. 10
Magnetization: 0.000 μB/atom



Record 7
TlSn3Te6Pb2 after structural relaxation. Source: the Alexandria database, functional PBE.

a = 10.270 Å, b = 10.270 Å, c = 9.164 Å
α = 103.13°, β = 103.13°, γ = 25.55°
Positions (direct):
Tl: 0.000 0.000 0.000
Sn: 0.000 0.000 0.500
Sn: 0.333 0.333 0.166
Sn: 0.667 0.667 0.834
Te: 0.164 0.164 0.588
Te: 0.172 0.172 0.081
Te: 0.500 0.500 0.262
Te: 0.500 0.500 0.738
Te: 0.828 0.828 0.919
Te: 0.836 0.836 0.412
Pb: 0.335 0.335 0.667
Pb: 0.665 0.665 0.333

Computed properties:
E_form (uncorrected): -0.311 eV/atom
D(E_F): 6.80 states/eV/cell
Space-group type: C2/m, No. 12
Magnetization: 0.000 μB/atom



Record 8
SnTePbW2 after structural relaxation. Source: the Alexandria database, functional PBE.

a = 5.541 Å, b = 5.541 Å, c = 5.607 Å
α = 90.00°, β = 90.00°, γ = 90.00°
Positions (direct):
Sn: 0.000 0.000 0.000
Te: 0.500 0.500 0.500
Pb: 0.000 0.000 0.500
W: 0.000 0.500 0.000
W: 0.500 0.000 0.000

Computed properties:
E_form (uncorrected): 2.271 eV/atom
D(E_F): 4.36 states/eV/cell
Space-group type: P4/mmm, No. 123
Magnetization: 1.285 μB/atom



Record 9
Y6Sn2Te3Pb after structural relaxation. Source: the Alexandria database, functional PBE.

a = 9.876 Å, b = 9.876 Å, c = 8.832 Å
α = 103.37°, β = 103.37°, γ = 25.79°
Positions (direct):
Y: 0.003 0.003 0.246
Y: 0.330 0.330 0.425
Y: 0.335 0.335 0.908
Y: 0.665 0.665 0.092
Y: 0.670 0.670 0.575
Y: 0.997 0.997 0.754
Sn: 0.167 0.167 0.333
Sn: 0.833 0.833 0.667
Te: 0.166 0.166 0.833
Te: 0.500 0.500 0.500
Te: 0.834 0.834 0.167
Pb: 0.500 0.500 0.000

Computed properties:
E_form (uncorrected): -1.040 eV/atom
D(E_F): 2.76 states/eV/cell
Space-group type: C2/m, No. 12
Magnetization: 0.000 μB/atom



Record 10
YSnTe2Pb after structural relaxation. Source: the Alexandria database, functional PBE.

a = 5.792 Å, b = 5.792 Å, c = 5.948 Å
α = 90.00°, β = 90.00°, γ = 90.00°
Positions (direct):
Y: 0.000 0.000 0.000
Sn: 0.500 0.500 0.500
Te: 0.000 0.500 0.000
Te: 0.500 0.000 0.000
Pb: 0.000 0.000 0.500

Computed properties:
E_form (uncorrected): 0.035 eV/atom
D(E_F): 5.27 states/eV/cell
Space-group type: P4/mmm, No. 123
Magnetization: 0.000 μB/atom



Record 11
Th4SnPb5 after structural relaxation. Source: the Alexandria database, functional PBE.

a = 8.761 Å, b = 8.761 Å, c = 8.761 Å
α = 150.57°, β = 99.73°, γ = 87.71°
Positions (direct):
Th: 0.181 0.181 0.000
Th: 0.280 0.500 0.780
Th: 0.720 0.500 0.220
Th: 0.819 0.819 0.000
Sn: 0.000 0.500 0.500
Pb: 0.130 0.804 0.326
Pb: 0.478 0.804 0.674
Pb: 0.500 0.000 0.500
Pb: 0.522 0.196 0.326
Pb: 0.870 0.196 0.674

Computed properties:
D(E_F): 4.88 states/eV/cell
Calculated total energy: -54.7 eV/f.u.
Space-group type: Immm, No. 71
Magnetization: 0.000 μB/atom



Record 12
ThSnPb after structural relaxation. Source: the Alexandria database, functional PBE.

a = 5.472 Å, b = 5.472 Å, c = 3.383 Å
α = 90.00°, β = 90.00°, γ = 120.00°
Positions (direct):
Th: 0.000 0.000 0.000
Sn: 0.333 0.667 0.503
Pb: 0.667 0.333 0.499

Computed properties:
D(E_F): 3.10 states/eV/cell
Space-group type: P3m1, No. 156
Excess energy over the best structure of this formula in the dataset: 249 meV per atom
Magnetization: 0.000 μB/atom



Record 13
Th4SnPb after structural relaxation. Source: the Alexandria database, functional PBE.

a = 7.721 Å, b = 7.721 Å, c = 6.359 Å
α = 90.00°, β = 90.00°, γ = 90.00°
Positions (direct):
Th: 0.152 0.342 0.000
Th: 0.152 0.658 0.500
Th: 0.342 0.152 0.500
Th: 0.342 0.848 0.000
Th: 0.658 0.152 0.000
Th: 0.658 0.848 0.500
Th: 0.848 0.342 0.500
Th: 0.848 0.658 0.000
Sn: 0.000 0.000 0.250
Sn: 0.000 0.000 0.750
Pb: 0.500 0.500 0.250
Pb: 0.500 0.500 0.750

Computed properties:
D(E_F): 6.53 states/eV/cell
Calculated total energy: -39.4 eV/f.u.
Space-group type: P4/mcc, No. 124
Magnetization: 0.000 μB/atom



Record 14
ThSn2Pb after structural relaxation. Source: the Alexandria database, functional PBE.

a = 5.501 Å, b = 5.501 Å, c = 5.501 Å
α = 60.00°, β = 60.00°, γ = 60.00°
Positions (direct):
Th: 0.000 0.000 0.000
Sn: 0.250 0.250 0.250
Sn: 0.750 0.750 0.750
Pb: 0.500 0.500 0.500

Computed properties:
D(E_F): 3.11 states/eV/cell
Space-group type: Fm-3m, No. 225
Excess energy over the best structure of this formula in the dataset: 256 meV per atom
Magnetization: 0.000 μB/atom



Record 15
ThSn2Pb after structural relaxation. Source: the Alexandria database, functional PBE.

a = 4.831 Å, b = 4.831 Å, c = 4.760 Å
α = 90.00°, β = 90.00°, γ = 90.00°
Positions (direct):
Th: 0.000 0.000 0.000
Sn: 0.000 0.500 0.500
Sn: 0.500 0.000 0.500
Pb: 0.500 0.500 0.000

Computed properties:
D(E_F): 3.06 states/eV/cell
Space-group type: P4/mmm, No. 123
Excess energy over the best structure of this formula in the dataset: 0 meV per atom
Magnetization: 0.000 μB/atom



Record 16
Th3SnPb2 after structural relaxation. Source: the Alexandria database, functional PBE.

a = 9.372 Å, b = 9.372 Å, c = 3.391 Å
α = 90.00°, β = 90.00°, γ = 143.07°
Positions (direct):
Th: 0.000 0.000 0.000
Th: 0.336 0.664 0.000
Th: 0.664 0.336 0.000
Sn: 0.500 0.500 0.500
Pb: 0.168 0.832 0.500
Pb: 0.832 0.168 0.500

Computed properties:
D(E_F): 4.17 states/eV/cell
Calculated total energy: -35.9 eV/f.u.
Space-group type: Cmmm, No. 65
Magnetization: 0.000 μB/atom



Record 17
ThSnPb after structural relaxation. Source: the Alexandria database, functional PBE.

a = 8.820 Å, b = 8.820 Å, c = 4.479 Å
α = 90.00°, β = 90.00°, γ = 149.57°
Positions (direct):
Th: 0.097 0.903 0.750
Th: 0.903 0.097 0.250
Sn: 0.437 0.563 0.750
Sn: 0.563 0.437 0.250
Pb: 0.251 0.749 0.250
Pb: 0.749 0.251 0.750

Computed properties:
D(E_F): 2.57 states/eV/cell
Space-group type: Cmcm, No. 63
Excess energy over the best structure of this formula in the dataset: 0 meV per atom
Magnetization: 0.000 μB/atom



Record 18
Th2SnPb4 after structural relaxation. Source: the Alexandria database, functional PBE.

a = 6.784 Å, b = 6.784 Å, c = 6.753 Å
α = 119.49°, β = 119.49°, γ = 91.05°
Positions (direct):
Th: 0.000 0.500 0.000
Th: 0.500 0.000 0.000
Sn: 0.000 0.000 0.500
Pb: 0.000 0.000 0.000
Pb: 0.000 0.500 0.500
Pb: 0.500 0.000 0.500
Pb: 0.500 0.500 0.000

Computed properties:
D(E_F): 6.06 states/eV/cell
Calculated total energy: -34.9 eV/f.u.
Space-group type: C2/m, No. 12
Magnetization: 0.000 μB/atom



Record 19
ThSn2Pb after structural relaxation. Source: the Alexandria database, functional PBE.

a = 4.169 Å, b = 4.169 Å, c = 6.627 Å
α = 90.00°, β = 90.00°, γ = 90.00°
Positions (direct):
Th: 0.000 0.000 0.000
Sn: 0.500 0.500 0.252
Sn: 0.500 0.500 0.748
Pb: 0.000 0.000 0.500

Computed properties:
D(E_F): 3.07 states/eV/cell
Space-group type: P4/mmm, No. 123
Excess energy over the best structure of this formula in the dataset: 100 meV per atom
Magnetization: 0.000 μB/atom



Record 20
ThSnPb after structural relaxation. Source: the Alexandria database, functional PBE.

a = 4.586 Å, b = 4.586 Å, c = 8.704 Å
α = 90.00°, β = 90.00°, γ = 90.00°
Positions (direct):
Th: 0.250 0.250 0.183
Th: 0.750 0.750 0.817
Sn: 0.250 0.250 0.820
Sn: 0.750 0.750 0.180
Pb: 0.250 0.750 0.500
Pb: 0.750 0.250 0.500

Computed properties:
D(E_F): 3.57 states/eV/cell
Space-group type: P4/nmm, No. 129
Excess energy over the best structure of this formula in the dataset: 125 meV per atom
Magnetization: 0.000 μB/atom



Record 21
Th8Sn2Pb after structural relaxation. Source: the Alexandria database, functional PBE.

a = 8.490 Å, b = 8.490 Å, c = 5.991 Å
α = 100.90°, β = 100.90°, γ = 117.57°
Positions (direct):
Th: 0.082 0.305 0.624
Th: 0.233 0.767 0.000
Th: 0.305 0.082 0.624
Th: 0.404 0.404 0.199
Th: 0.596 0.596 0.801
Th: 0.695 0.918 0.376
Th: 0.767 0.233 0.000
Th: 0.918 0.695 0.376
Sn: 0.307 0.693 0.500
Sn: 0.693 0.307 0.500
Pb: 0.000 0.000 0.000

Computed properties:
D(E_F): 14.53 states/eV/cell
Calculated total energy: -71.9 eV/f.u.
Space-group type: C2/m, No. 12
Magnetization: 0.000 μB/atom



Record 22
ThSnPb after structural relaxation. Source: the Alexandria database, functional PBE.

a = 6.151 Å, b = 6.151 Å, c = 6.151 Å
α = 142.21°, β = 142.21°, γ = 54.51°
Positions (direct):
Th: 0.000 0.000 0.000
Sn: 0.324 0.324 0.000
Pb: 0.687 0.687 0.000

Computed properties:
D(E_F): 2.41 states/eV/cell
Space-group type: I4mm, No. 107
Excess energy over the best structure of this formula in the dataset: 219 meV per atom
Magnetization: 0.000 μB/atom



Record 23
TmThSnPb after structural relaxation. Source: the Alexandria database, functional PBE.

a = 5.442 Å, b = 5.442 Å, c = 5.442 Å
α = 60.00°, β = 60.00°, γ = 60.00°
Positions (direct):
Tm: 0.000 0.000 0.000
Th: 0.500 0.500 0.500
Sn: 0.750 0.750 0.750
Pb: 0.250 0.250 0.250

Computed properties:
D(E_F): 6.31 states/eV/cell
Calculated total energy: -20.9 eV/f.u.
Space-group type: F-43m, No. 216
Magnetization: 0.000 μB/atom



Record 24
YThSnPb after structural relaxation. Source: the Alexandria database, functional PBE.

a = 5.473 Å, b = 5.473 Å, c = 5.473 Å
α = 60.00°, β = 60.00°, γ = 60.00°
Positions (direct):
Y: 0.000 0.000 0.000
Th: 0.500 0.500 0.500
Sn: 0.750 0.750 0.750
Pb: 0.250 0.250 0.250

Computed properties:
D(E_F): 6.99 states/eV/cell
Calculated total energy: -23.1 eV/f.u.
Space-group type: F-43m, No. 216
Magnetization: 0.000 μB/atom



Record 25
TiSn2Pb after structural relaxation. Source: the Alexandria database, functional PBE.

a = 3.246 Å, b = 3.246 Å, c = 9.256 Å
α = 90.00°, β = 90.00°, γ = 90.00°
Positions (direct):
Ti: 0.000 0.000 0.000
Sn: 0.500 0.500 0.210
Sn: 0.500 0.500 0.790
Pb: 0.000 0.000 0.500

Computed properties:
D(E_F): 2.28 states/eV/cell
Calculated total energy: -19.7 eV/f.u.
Space-group type: P4/mmm, No. 123
Magnetization: 0.000 μB/atom